# 1
Ca2NpScAs4 after structural relaxation, computed with PBE.

It has space group P2/m (No. 10), with a = 7.026 Å, b = 4.121 Å, c = 7.179 Å, α = 90.00°, β = 109.02° and γ = 90.00°. Symmetry generates all atoms from Ca at (0.000, 0.000, 0.000), Ca at (0.500, 0.500, 0.000), Np at (0.000, 0.500, 0.500), Sc at (0.500, 0.000, 0.500), As at (0.244, 0.000, 0.726) and As at (0.258, 0.500, 0.277).

---

# 2
Ca3NpSc2As6 after structural relaxation, computed with PBE.

It has space group C2/m (No. 12), with a = 7.008 Å, b = 12.132 Å, c = 7.188 Å, α = 90.00°, β = 108.90° and γ = 90.00°. Symmetry generates all atoms from Ca at (0.000, 0.000, 0.000), Ca at (0.000, 0.332, 0.000), Np at (0.000, 0.500, 0.500), Sc at (0.000, 0.166, 0.500), As at (0.239, 0.335, 0.723) and As at (0.244, 0.000, 0.722).

---

# 3
CaSm2NpAs4 after structural relaxation, computed with PBE.

It has space group P2/m (No. 10), with a = 7.238 Å, b = 4.191 Å, c = 7.240 Å, α = 90.00°, β = 109.06° and γ = 90.00°. Symmetry generates all atoms from Ca at (0.000, 0.000, 0.000), Sm at (0.500, 0.000, 0.500), Sm at (0.500, 0.500, 0.000), Np at (0.000, 0.500, 0.500), As at (0.243, 0.000, 0.741) and As at (0.245, 0.500, 0.260).

---

no.,M_tot (μB per atom),energy of formation (eV per atom)
1,0.253,-1.0481
2,0.088,-1.1013
3,0.376,-1.1888